Pr8CoNi2 | PBE | optimized geometry

abc: 9.617 9.617 6.692
angles: 106.78 106.78 31.30
Positions (direct):
Pr 0.035 0.035 0.302
Pr 0.198 0.198 0.849
Pr 0.325 0.325 0.507
Pr 0.412 0.412 0.051
Pr 0.588 0.588 0.949
Pr 0.675 0.675 0.493
Pr 0.802 0.802 0.151
Pr 0.965 0.965 0.698
Co 0.500 0.500 0.500
Ni 0.175 0.175 0.243
Ni 0.825 0.825 0.757

Values from the calculation:
Energy relative to the lowest polymorph listed for this composition = 37.1 meV/atom
ΔE_f = -0.058 eV per atom
Size of the total moment = 0.09 μB per cell